# 1
VASP calculation (GGA-PBE) on crystalline CdAg2IrO6 at its relaxed geometry.

* raw formation energy: -9.31 kcal/mol of atoms
* space group: P2_1/c (14)
* size of the total moment: 0.00 μB/atom

```
CdAg2IrO6
1.0
-4.731 -0.431 3.229
2.342 -4.178 2.873
3.016 5.321 5.280
Cd Ag Ir O
2 4 2 12
direct
0.500 0.000 0.000 Cd
0.000 0.500 0.500 Cd
0.992 0.988 0.270 Ag
0.492 0.512 0.770 Ag
0.008 0.012 0.730 Ag
0.508 0.488 0.230 Ag
0.500 0.000 0.500 Ir
0.000 0.500 0.000 Ir
0.304 0.648 0.016 O
0.804 0.852 0.516 O
0.696 0.352 0.984 O
0.196 0.148 0.484 O
0.360 0.708 0.427 O
0.860 0.792 0.927 O
0.640 0.292 0.573 O
0.140 0.208 0.073 O
0.919 0.591 0.225 O
0.419 0.909 0.725 O
0.081 0.409 0.775 O
0.581 0.091 0.275 O
```

# 2
VASP calculation (GGA-PBE) on crystalline Pr5DyHo12 at its relaxed geometry.

* calculated formation energy: 0.0922 eV/atom
* space group: C2/m (12)
* size of the total moment: 0.00 μB/atom

```
Pr5DyHo12
1.0
11.719 0.000 0.006
5.860 8.665 0.003
-0.003 0.000 5.762
Pr Dy Ho
5 1 12
direct
0.500 0.000 0.500 Pr
0.138 0.724 0.500 Pr
0.862 0.276 0.500 Pr
0.641 0.719 0.000 Pr
0.359 0.281 0.000 Pr
0.000 0.000 0.000 Dy
0.802 0.000 0.498 Ho
0.198 0.000 0.502 Ho
0.701 0.000 0.998 Ho
0.299 0.000 0.002 Ho
0.335 0.644 0.000 Ho
0.021 0.644 0.000 Ho
0.979 0.356 0.000 Ho
0.665 0.356 0.000 Ho
0.477 0.358 0.500 Ho
0.834 0.642 0.500 Ho
0.166 0.358 0.500 Ho
0.523 0.642 0.500 Ho
```

# 3
VASP calculation (GGA-PBE) on crystalline InAgSbI2 at its relaxed geometry.

* raw formation energy: 11.45 kcal/mol of atoms
* space group: P4/mmm (123)
* size of the total moment: 0.45 μB/atom
* energy above the lowest structure with this stoichiometry: 307.6 meV/atom

```
InAgSbI2
1.0
-4.882 -3.709 0.515
3.007 -3.599 2.586
-1.445 2.646 5.363
I Sb Ag In
2 1 1 1
direct
0.000 0.000 0.500 I
0.500 0.000 0.000 I
0.500 0.500 0.500 Sb
0.000 0.500 0.000 Ag
0.000 0.000 0.000 In
```

# 4
VASP calculation (GGA-PBE) on crystalline Li3Np3MoS8 at its relaxed geometry.

* raw formation energy: -27.56 kcal/mol of atoms
* space group: R-3m (166)
* size of the total moment: 0.93 μB/atom

```
Li3Np3MoS8
1.0
-3.783 -3.055 -5.911
7.629 -0.526 0.345
-4.337 -3.983 4.833
Li Np Mo S
3 3 1 8
direct
0.000 0.000 0.000 Li
0.000 0.500 0.000 Li
0.500 0.500 0.000 Li
0.500 0.000 0.500 Np
0.500 0.500 0.500 Np
0.000 0.500 0.500 Np
0.000 0.000 0.500 Mo
0.248 0.495 0.243 S
0.752 0.505 0.757 S
0.765 0.530 0.261 S
0.235 0.470 0.739 S
0.765 0.995 0.261 S
0.235 0.005 0.739 S
0.230 0.995 0.261 S
0.770 0.005 0.739 S
```

# 5
VASP calculation (GGA-PBE) on crystalline TlSnIr2 at its relaxed geometry.

* calculated formation energy: 0.3495 eV/atom
* space group: Fm-3m (225)
* size of the total moment: 0.00 μB/atom

```
TlSnIr2
1.0
0.000 3.309 3.309
3.309 0.000 3.309
3.309 3.309 0.000
Tl Ir Sn
1 2 1
direct
0.500 0.500 0.500 Tl
0.250 0.250 0.250 Ir
0.750 0.750 0.750 Ir
0.000 0.000 0.000 Sn
```

# 6
VASP calculation (GGA-PBE) on crystalline SiOsCl at its relaxed geometry.

* raw formation energy: 25.60 kcal/mol of atoms
* space group: F-43m (216)
* size of the total moment: 0.00 μB/atom
* energy above the lowest structure with this stoichiometry: 860.9 meV/atom

```
SiOsCl
1.0
-0.927 0.821 -3.990
-2.381 -2.652 -2.180
-3.894 1.078 -1.061
Cl Os Si
1 1 1
direct
0.000 0.000 0.000 Cl
0.500 0.500 0.500 Os
0.250 0.250 0.250 Si
```